A relaxed LiS3O crystal. Source: the Alexandria database, functional GGA-PBE.

Output
Energy relative to the elements, uncorrected in meV per atom: 407
ΔE to the lowest computed polymorph in eV/atom: 0.000

a b c (Å): 4.247 4.247 4.247
angles (deg): 90.00 90.00 90.00
Space group Pm-3m (No. 221)
Inequivalent atoms, fractional coordinates:
Li1 0.000 0.000 0.000 x1
S1 0.000 0.500 0.500 x3
O1 0.500 0.500 0.500 x1